Record 1
The following is a PBE calculation of an optimized crystal structure of LaCd5, from the Alexandria database.

Calculated values
**Total moment**: 0.0 μB/f.u.
**ΔH_f (0 K)**: -12.1 kJ per mole of atoms

Geometry as POSCAR:
```
LaCd5
1.0
6.6596 -1.6036 0.0000
6.6596 1.6036 0.0000
-1.7770 0.0000 6.9989
La Cd
1 5
direct
0.0000 0.0000 0.0000
0.0000 0.0000 0.5000
0.3161 0.3161 0.1722
0.3321 0.3321 0.6408
0.6679 0.6679 0.3592
0.6839 0.6839 0.8278
```

***

Record 2
The following is a PBE calculation of an optimized crystal structure of In2TcHgGe, from the Alexandria database.

Calculated values
**Energy above the most stable polymorph in this dataset**: 0.000 eV per atom
**Total moment**: 0.0 μB/f.u.
**ΔH_f (0 K)**: 13.4 kJ per mole of atoms

Geometry as POSCAR:
```
In2TcHgGe
1.0
5.2975 0.0000 0.0000
0.0000 5.2975 0.0000
0.0000 0.0000 4.7771
In Tc Hg Ge
2 1 1 1
direct
0.0000 0.5000 0.0000
0.5000 0.0000 0.0000
0.0000 0.0000 0.0000
0.5000 0.5000 0.5000
0.0000 0.0000 0.5000
```